Hf2TlCd after structural relaxation, computed with GGA-PBE.

a b c (Å): 7.9619 7.9619 6.3759
angles (deg): 51.36 51.36 90.00
Element x y z (fractional)
Tl 0.0000 0.0000 0.0000
Tl 0.7500 0.2500 0.5000
Hf 0.6237 0.1250 0.2500
Hf 0.1263 0.6250 0.2500
Hf 0.3750 0.3763 0.7500
Hf 0.8750 0.8737 0.7500
Cd 0.5000 0.5000 0.0000
Cd 0.2500 0.7500 0.5000

Output
For the energy relative to the elements, the calculation gives 1.7 eV/f.u.

---

Hf4TlCd after structural relaxation, computed with GGA-PBE.

a b c (Å): 3.1286 3.1286 13.7875
angles (deg): 90.00 90.00 90.00
Element x y z (fractional)
Hf 0.5000 0.5000 0.1681
Hf 0.0000 0.0000 0.6781
Hf 0.0000 0.0000 0.3219
Hf 0.5000 0.5000 0.8319
Tl 0.5000 0.5000 0.5000
Cd 0.0000 0.0000 0.0000

Output
For the energy relative to the elements, the calculation gives -0.2 eV/f.u.

---

HfTlCd2 after structural relaxation, computed with GGA-PBE.

a b c (Å): 8.1238 8.1238 6.4767
angles (deg): 51.16 51.16 90.00
Element x y z (fractional)
Tl 0.0000 0.0000 0.0000
Tl 0.7500 0.2500 0.5000
Hf 0.5000 0.5000 0.0000
Hf 0.2500 0.7500 0.5000
Cd 0.6271 0.1250 0.2500
Cd 0.1229 0.6250 0.2500
Cd 0.3750 0.3729 0.7500
Cd 0.8750 0.8771 0.7500

Output
For the energy above the most stable polymorph in this dataset, the calculation gives 0.303 eV per atom. For the energy relative to the elements, the calculation gives 1.4 eV/f.u.